[1]
# Mn2ZnCl, relaxed, DFT GGA-PBEsol
# V (Å³/f.u.): 59.6
# Energy relative to the elements, uncorrected (eV/atom): 0.66
# Polymorph energy (0 for the lowest one) (meV per atom): 471
# Calculated total energy (eV/atom): -5.12
data_Mn2ZnCl
_chemical_formula_sum 'Mn8 Zn4 Cl4'
_symmetry_space_group_name_H-M 'F -4 3 m'
_symmetry_Int_Tables_number 216
_symmetry_space_group_name_Hall 'F -4 2 3'
_cell_length_a 6.199
_cell_length_b 6.199
_cell_length_c 6.199
_cell_angle_alpha 90.00
_cell_angle_beta 90.00
_cell_angle_gamma 90.00
loop_
_atom_site_label
_atom_site_fract_x
_atom_site_fract_y
_atom_site_fract_z
Mn1 0.000 0.000 0.000
Mn2 0.250 0.250 0.250
Zn1 0.250 0.250 0.750
Cl1 0.000 0.000 0.500

[2]
# Mn2ZnCl, relaxed, DFT GGA-PBEsol
# V (Å³/f.u.): 60.3
# Energy relative to the elements, uncorrected (eV/atom): 0.18
# Polymorph energy (0 for the lowest one) (meV per atom): 0
# Calculated total energy (eV/atom): -5.59
data_Mn2ZnCl
_chemical_formula_sum 'Mn6 Zn3 Cl3'
_symmetry_space_group_name_H-M 'R -3 m'
_symmetry_Int_Tables_number 166
_symmetry_space_group_name_Hall '-R 3 2"'
_cell_length_a 3.0036
_cell_length_b 3.0036
_cell_length_c 23.1490
_cell_angle_alpha 90.00
_cell_angle_beta 90.00
_cell_angle_gamma 120.00
loop_
_atom_site_label
_atom_site_fract_x
_atom_site_fract_y
_atom_site_fract_z
Mn1 0.0000 0.0000 0.2494
Zn1 0.0000 0.0000 0.0000
Cl1 0.0000 0.0000 0.5000

[3]
# MnZn2Cl, relaxed, DFT GGA-PBEsol
# V (Å³/f.u.): 74.0
# Energy relative to the elements, uncorrected (eV/atom): 0.63
# Polymorph energy (0 for the lowest one) (meV per atom): 479
# Calculated total energy (eV/atom): -3.11
data_MnZn2Cl
_chemical_formula_sum 'Mn4 Zn8 Cl4'
_symmetry_space_group_name_H-M 'F m -3 m'
_symmetry_Int_Tables_number 225
_symmetry_space_group_name_Hall '-F 4 2 3'
_cell_length_a 6.663
_cell_length_b 6.663
_cell_length_c 6.663
_cell_angle_alpha 90.00
_cell_angle_beta 90.00
_cell_angle_gamma 90.00
loop_
_atom_site_label
_atom_site_fract_x
_atom_site_fract_y
_atom_site_fract_z
Mn1 0.000 0.000 0.000
Zn1 0.250 0.250 0.250
Cl1 0.000 0.000 0.500

[4]
# ZrMn2Cl, relaxed, DFT GGA-PBEsol
# V (Å³/f.u.): 67.8
# Energy relative to the elements, uncorrected (eV/atom): 0.34
# Polymorph energy (0 for the lowest one) (meV per atom): 434
# Calculated total energy (eV/atom): -7.31
data_ZrMn2Cl
_chemical_formula_sum 'Zr2 Mn4 Cl2'
_symmetry_space_group_name_H-M 'C m m m'
_symmetry_Int_Tables_number 65
_symmetry_space_group_name_Hall '-C 2 2'
_cell_length_a 5.124
_cell_length_b 8.664
_cell_length_c 3.057
_cell_angle_alpha 90.00
_cell_angle_beta 90.00
_cell_angle_gamma 90.00
loop_
_atom_site_label
_atom_site_fract_x
_atom_site_fract_y
_atom_site_fract_z
Zr1 0.000 0.000 0.000
Mn1 0.250 0.250 0.500
Cl1 0.000 0.500 0.000

[5]
# ZrMnCl2, relaxed, DFT GGA-PBEsol
# V (Å³/f.u.): 81.4
# Energy relative to the elements, uncorrected (eV/atom): -0.80
# Polymorph energy (0 for the lowest one) (meV per atom): 0
# Calculated total energy (eV/atom): -6.52
data_ZrMnCl2
_chemical_formula_sum 'Zr3 Mn3 Cl6'
_symmetry_space_group_name_H-M 'R 3 m'
_symmetry_Int_Tables_number 160
_symmetry_space_group_name_Hall 'R 3 -2"'
_cell_length_a 3.3109
_cell_length_b 3.3109
_cell_length_c 25.7385
_cell_angle_alpha 90.00
_cell_angle_beta 90.00
_cell_angle_gamma 120.00
loop_
_atom_site_label
_atom_site_fract_x
_atom_site_fract_y
_atom_site_fract_z
Zr1 0.0000 0.0000 0.0000
Mn1 0.0000 0.0000 0.2498
Cl1 0.0000 0.0000 0.5242
Cl2 0.0000 0.0000 0.7341

[6]
# Zr3MnCl, relaxed, DFT GGA-PBEsol
# V (Å³/f.u.): 104.1
# Energy relative to the elements, uncorrected (eV/atom): 0.14
# Calculated total energy (eV/atom): -7.67
data_Zr3MnCl
_chemical_formula_sum 'Zr3 Mn1 Cl1'
_symmetry_space_group_name_H-M 'P m -3 m'
_symmetry_Int_Tables_number 221
_symmetry_space_group_name_Hall '-P 4 2 3'
_cell_length_a 4.705
_cell_length_b 4.705
_cell_length_c 4.705
_cell_angle_alpha 90.00
_cell_angle_beta 90.00
_cell_angle_gamma 90.00
loop_
_atom_site_label
_atom_site_fract_x
_atom_site_fract_y
_atom_site_fract_z
Zr1 0.000 0.000 0.500
Mn1 0.500 0.500 0.500
Cl1 0.000 0.000 0.000

[7]
# ZrMnCl2, relaxed, DFT GGA-PBEsol
# V (Å³/f.u.): 65.9
# Energy relative to the elements, uncorrected (eV/atom): -0.22
# Polymorph energy (0 for the lowest one) (meV per atom): 581
# Calculated total energy (eV/atom): -5.94
data_ZrMnCl2
_chemical_formula_sum 'Zr2 Mn2 Cl4'
_symmetry_space_group_name_H-M 'I 4/m m m'
_symmetry_Int_Tables_number 139
_symmetry_space_group_name_Hall '-I 4 2'
_cell_length_a 4.215
_cell_length_b 4.215
_cell_length_c 7.414
_cell_angle_alpha 90.00
_cell_angle_beta 90.00
_cell_angle_gamma 90.00
loop_
_atom_site_label
_atom_site_fract_x
_atom_site_fract_y
_atom_site_fract_z
Zr1 0.000 0.000 0.000
Mn1 0.000 0.000 0.500
Cl1 0.000 0.500 0.250

[8]
# ZrMn2Cl, relaxed, DFT GGA-PBEsol
# V (Å³/f.u.): 61.7
# Energy relative to the elements, uncorrected (eV/atom): 0.21
# Polymorph energy (0 for the lowest one) (meV per atom): 302
# Calculated total energy (eV/atom): -7.44
data_ZrMn2Cl
_chemical_formula_sum 'Zr2 Mn4 Cl2'
_symmetry_space_group_name_H-M 'C 1 2/m 1'
_symmetry_Int_Tables_number 12
_symmetry_space_group_name_Hall '-C 2y'
_cell_length_a 10.045
_cell_length_b 2.939
_cell_length_c 4.535
_cell_angle_alpha 90.00
_cell_angle_beta 112.85
_cell_angle_gamma 90.00
loop_
_atom_site_label
_atom_site_fract_x
_atom_site_fract_y
_atom_site_fract_z
Zr1 0.000 0.000 0.000
Mn1 0.237 0.000 0.741
Cl1 0.000 0.500 0.500

[9]
# Zr4MnCl, relaxed, DFT GGA-PBEsol
# V (Å³/f.u.): 128.9
# Energy relative to the elements, uncorrected (eV/atom): 0.68
# Calculated total energy (eV/atom): -7.35
data_Zr4MnCl
_chemical_formula_sum 'Zr16 Mn4 Cl4'
_symmetry_space_group_name_H-M 'F -4 3 m'
_symmetry_Int_Tables_number 216
_symmetry_space_group_name_Hall 'F -4 2 3'
_cell_length_a 8.019
_cell_length_b 8.019
_cell_length_c 8.019
_cell_angle_alpha 90.00
_cell_angle_beta 90.00
_cell_angle_gamma 90.00
loop_
_atom_site_label
_atom_site_fract_x
_atom_site_fract_y
_atom_site_fract_z
Zr1 0.122 0.122 0.378
Mn1 0.250 0.250 0.750
Cl1 0.000 0.000 0.000

[10]
# ZrMn2Cl, relaxed, DFT GGA-PBEsol
# V (Å³/f.u.): 71.8
# Energy relative to the elements, uncorrected (eV/atom): -0.09
# Polymorph energy (0 for the lowest one) (meV per atom): 0
# Calculated total energy (eV/atom): -7.75
data_ZrMn2Cl
_chemical_formula_sum 'Zr1 Mn2 Cl1'
_symmetry_space_group_name_H-M 'P 4 m m'
_symmetry_Int_Tables_number 99
_symmetry_space_group_name_Hall 'P 4 -2'
_cell_length_a 2.990
_cell_length_b 2.990
_cell_length_c 8.032
_cell_angle_alpha 90.00
_cell_angle_beta 90.00
_cell_angle_gamma 90.00
loop_
_atom_site_label
_atom_site_fract_x
_atom_site_fract_y
_atom_site_fract_z
Zr1 0.000 0.000 0.000
Mn1 0.000 0.000 0.620
Mn2 0.500 0.500 0.756
Cl1 0.500 0.500 0.209

[11]
# ZrMnCl2, relaxed, DFT GGA-PBEsol
# V (Å³/f.u.): 83.1
# Energy relative to the elements, uncorrected (eV/atom): -0.57
# Polymorph energy (0 for the lowest one) (meV per atom): 230
# Calculated total energy (eV/atom): -6.29
data_ZrMnCl2
_chemical_formula_sum 'Zr3 Mn3 Cl6'
_symmetry_space_group_name_H-M 'R -3 m'
_symmetry_Int_Tables_number 166
_symmetry_space_group_name_Hall '-R 3 2"'
_cell_length_a 3.1671
_cell_length_b 3.1671
_cell_length_c 28.7001
_cell_angle_alpha 90.00
_cell_angle_beta 90.00
_cell_angle_gamma 120.00
loop_
_atom_site_label
_atom_site_fract_x
_atom_site_fract_y
_atom_site_fract_z
Zr1 0.0000 0.0000 0.0000
Mn1 0.0000 0.0000 0.5000
Cl1 0.0000 0.0000 0.2692

[12]
# ZrMn2Cl, relaxed, DFT GGA-PBEsol
# V (Å³/f.u.): 62.1
# Energy relative to the elements, uncorrected (eV/atom): 0.65
# Polymorph energy (0 for the lowest one) (meV per atom): 746
# Calculated total energy (eV/atom): -7.00
data_ZrMn2Cl
_chemical_formula_sum 'Zr4 Mn8 Cl4'
_symmetry_space_group_name_H-M 'F m -3 m'
_symmetry_Int_Tables_number 225
_symmetry_space_group_name_Hall '-F 4 2 3'
_cell_length_a 6.284
_cell_length_b 6.284
_cell_length_c 6.284
_cell_angle_alpha 90.00
_cell_angle_beta 90.00
_cell_angle_gamma 90.00
loop_
_atom_site_label
_atom_site_fract_x
_atom_site_fract_y
_atom_site_fract_z
Zr1 0.000 0.000 0.000
Mn1 0.250 0.250 0.250
Cl1 0.000 0.000 0.500

[13]
# ZrMnCl2, relaxed, DFT GGA-PBEsol
# V (Å³/f.u.): 86.7
# Energy relative to the elements, uncorrected (eV/atom): -0.35
# Polymorph energy (0 for the lowest one) (meV per atom): 446
# Calculated total energy (eV/atom): -6.07
data_ZrMnCl2
_chemical_formula_sum 'Zr1 Mn1 Cl2'
_symmetry_space_group_name_H-M 'P 4/m m m'
_symmetry_Int_Tables_number 123
_symmetry_space_group_name_Hall '-P 4 2'
_cell_length_a 3.086
_cell_length_b 3.086
_cell_length_c 9.109
_cell_angle_alpha 90.00
_cell_angle_beta 90.00
_cell_angle_gamma 90.00
loop_
_atom_site_label
_atom_site_fract_x
_atom_site_fract_y
_atom_site_fract_z
Zr1 0.000 0.000 0.000
Mn1 0.000 0.000 0.500
Cl1 0.500 0.500 0.169

[14]
# Mo2Cl, relaxed, DFT GGA-PBEsol
# V (Å³/f.u.): 52.7
# Energy relative to the elements, uncorrected (eV/atom): 0.18
# Polymorph energy (0 for the lowest one) (meV per atom): 0
# Calculated total energy (eV/atom): -8.34
data_Mo2Cl
_chemical_formula_sum 'Mo8 Cl4'
_symmetry_space_group_name_H-M 'C 1 m 1'
_symmetry_Int_Tables_number 8
_symmetry_space_group_name_Hall 'C -2y'
_cell_length_a 11.234
_cell_length_b 3.113
_cell_length_c 6.471
_cell_angle_alpha 90.00
_cell_angle_beta 111.33
_cell_angle_gamma 90.00
loop_
_atom_site_label
_atom_site_fract_x
_atom_site_fract_y
_atom_site_fract_z
Mo1 0.000 0.000 0.000
Mo2 0.010 0.500 0.722
Mo3 0.236 0.000 0.965
Mo4 0.271 0.500 0.708
Cl1 0.177 0.500 0.298
Cl2 0.420 0.000 0.312

[15]
# MoCl5, relaxed, DFT GGA-PBEsol
# V (Å³/f.u.): 153.4
# Energy relative to the elements, uncorrected (eV/atom): -0.79
# Polymorph energy (0 for the lowest one) (meV per atom): 2
# Calculated total energy (eV/atom): -4.43
data_MoCl5
_chemical_formula_sum 'Mo8 Cl40'
_symmetry_space_group_name_H-M 'P n m a'
_symmetry_Int_Tables_number 62
_symmetry_space_group_name_Hall '-P 2ac 2n'
_cell_length_a 11.482
_cell_length_b 17.558
_cell_length_c 6.089
_cell_angle_alpha 90.00
_cell_angle_beta 90.00
_cell_angle_gamma 90.00
loop_
_atom_site_label
_atom_site_fract_x
_atom_site_fract_y
_atom_site_fract_z
Mo1 0.123 0.141 0.089
Cl1 0.002 0.058 0.252
Cl2 0.009 0.153 0.788
Cl3 0.012 0.250 0.240
Cl4 0.236 0.250 0.939
Cl5 0.237 0.152 0.391
Cl6 0.244 0.058 0.925

[16]
# MoCl4, relaxed, DFT GGA-PBEsol
# V (Å³/f.u.): 126.6
# Energy relative to the elements, uncorrected (eV/atom): -0.80
# Calculated total energy (eV/atom): -4.76
data_MoCl4
_chemical_formula_sum 'Mo6 Cl24'
_symmetry_space_group_name_H-M 'P -3 1 m'
_symmetry_Int_Tables_number 162
_symmetry_space_group_name_Hall '-P 3 2'
_cell_length_a 12.1126
_cell_length_b 12.1126
_cell_length_c 5.9769
_cell_angle_alpha 90.00
_cell_angle_beta 90.00
_cell_angle_gamma 120.00
loop_
_atom_site_label
_atom_site_fract_x
_atom_site_fract_y
_atom_site_fract_z
Mo1 0.1734 0.3467 0.0000
Cl1 0.0000 0.1708 0.2122
Cl2 0.0000 0.3306 0.7749
Cl3 0.1715 0.4882 0.2401

[17]
# MoCl5, relaxed, DFT GGA-PBEsol
# V (Å³/f.u.): 145.8
# Energy relative to the elements, uncorrected (eV/atom): -0.31
# Polymorph energy (0 for the lowest one) (meV per atom): 484
# Calculated total energy (eV/atom): -3.95
data_MoCl5
_chemical_formula_sum 'Mo1 Cl5'
_symmetry_space_group_name_H-M 'P -6 2 m'
_symmetry_Int_Tables_number 189
_symmetry_space_group_name_Hall 'P -6 -2'
_cell_length_a 7.6516
_cell_length_b 7.6516
_cell_length_c 2.8759
_cell_angle_alpha 90.00
_cell_angle_beta 90.00
_cell_angle_gamma 120.00
loop_
_atom_site_label
_atom_site_fract_x
_atom_site_fract_y
_atom_site_fract_z
Mo1 0.0000 0.0000 0.0000
Cl1 0.0000 0.2423 0.5000
Cl2 0.3333 0.6667 0.0000

[18]
# MoCl5, relaxed, DFT GGA-PBEsol
# V (Å³/f.u.): 152.1
# Energy relative to the elements, uncorrected (eV/atom): -0.79
# Polymorph energy (0 for the lowest one) (meV per atom): 0
# Calculated total energy (eV/atom): -4.43
data_MoCl5
_chemical_formula_sum 'Mo2 Cl10'
_symmetry_space_group_name_H-M 'P -1'
_symmetry_Int_Tables_number 2
_symmetry_space_group_name_Hall '-P 1'
_cell_length_a 6.136
_cell_length_b 6.611
_cell_length_c 8.976
_cell_angle_alpha 71.30
_cell_angle_beta 90.00
_cell_angle_gamma 63.51
loop_
_atom_site_label
_atom_site_fract_x
_atom_site_fract_y
_atom_site_fract_z
Mo1 0.103 0.285 0.219
Cl1 0.075 0.680 0.567
Cl2 0.121 0.875 0.851
Cl3 0.238 0.315 0.955
Cl4 0.302 0.495 0.241
Cl5 0.435 0.926 0.338

[19]
# MoCl6, relaxed, DFT GGA-PBEsol
# V (Å³/f.u.): 174.4
# Energy relative to the elements, uncorrected (eV/atom): -0.74
# Calculated total energy (eV/atom): -4.14
data_MoCl6
_chemical_formula_sum 'Mo3 Cl18'
_symmetry_space_group_name_H-M 'P -3 m 1'
_symmetry_Int_Tables_number 164
_symmetry_space_group_name_Hall '-P 3 2"'
_cell_length_a 10.5348
_cell_length_b 10.5348
_cell_length_c 5.4445
_cell_angle_alpha 90.00
_cell_angle_beta 90.00
_cell_angle_gamma 120.00
loop_
_atom_site_label
_atom_site_fract_x
_atom_site_fract_y
_atom_site_fract_z
Mo1 0.0000 0.0000 0.0000
Mo2 0.3333 0.6667 0.4962
Cl1 0.1021 0.2041 0.7568
Cl2 0.1291 0.5645 0.7392
Cl3 0.2313 0.4625 0.2533

[20]
# Mo2Cl, relaxed, DFT GGA-PBEsol
# V (Å³/f.u.): 45.0
# Energy relative to the elements, uncorrected (eV/atom): 0.30
# Polymorph energy (0 for the lowest one) (meV per atom): 127
# Calculated total energy (eV/atom): -8.21
data_Mo2Cl
_chemical_formula_sum 'Mo2 Cl1'
_symmetry_space_group_name_H-M 'P -3 m 1'
_symmetry_Int_Tables_number 164
_symmetry_space_group_name_Hall '-P 3 2"'
_cell_length_a 2.8671
_cell_length_b 2.8671
_cell_length_c 6.3239
_cell_angle_alpha 90.00
_cell_angle_beta 90.00
_cell_angle_gamma 120.00
loop_
_atom_site_label
_atom_site_fract_x
_atom_site_fract_y
_atom_site_fract_z
Mo1 0.3333 0.6667 0.1740
Cl1 0.0000 0.0000 0.5000